VASP calculation (PBE) on a relaxed structure of Nb2ZnRu2.

Properties
DFT total energy = -8.194 eV/atom
SG = Cmcm (63)

Unit cell a=3.2113 b=4.4012 c=11.2127 alpha=90.00 beta=98.26 gamma=90.00
Closest atoms and distances in Å follow each position.
Element x y z (fractional)
Ru (0.5458, 0.2500, 0.0916)  6 Nb 2.73-2.74, 2 Zn 2.77, 2 Ru 3.00
Ru (0.3525, 0.2500, 0.7048)  4 Nb 2.62-2.70, 4 Zn 2.72
Ru (0.6475, 0.7500, 0.2952)  4 Nb 2.62-2.70, 4 Zn 2.72
Ru (0.4542, 0.7500, 0.9084)  6 Nb 2.73-2.74, 2 Zn 2.77, 2 Ru 3.00
Nb (0.0542, 0.7500, 0.1088)  8 Ru 2.62-2.74
Nb (0.9458, 0.2500, 0.8912)  8 Ru 2.62-2.74
Nb (0.7543, 0.2500, 0.5087)  2 Ru 2.70, 4 Nb 2.73, 2 Zn 2.87
Nb (0.2457, 0.7500, 0.4913)  2 Ru 2.70, 4 Nb 2.73, 2 Zn 2.87
Zn (0.8528, 0.7500, 0.7053)  6 Ru 2.72-2.77, 4 Nb 2.87-3.02
Zn (0.1472, 0.2500, 0.2947)  6 Ru 2.72-2.77, 4 Nb 2.87-3.02